(1)
DFT (PBE) results for a relaxed TaTi3Ga crystal.

Summary:
* DFT formation energy: 0.833 eV per atom
* final energy: -6.880 eV per atom
* density: 6.52 g/cm³
* symmetry: Pm-3m, No. 221
* energy above the lowest structure with this stoichiometry: 146 meV/atom

Cell lengths 4.648, 4.648, 4.648 Å; angles 90.00, 90.00, 90.00 degrees
Fractional coordinates of all 5 atoms:
Ta 0.000 0.000 0.000
Ti 0.000 0.500 0.500
Ti 0.500 0.000 0.500
Ti 0.500 0.500 0.000
Ga 0.500 0.500 0.500

---

(2)
DFT (PBE) results for a relaxed TaTi3Ga2 crystal.

Summary:
* DFT formation energy: -0.357 eV per atom
* final energy: -7.289 eV per atom
* density: 7.83 g/cm³
* symmetry: Cmmm, No. 65

Cell lengths 6.959, 6.959, 3.502 Å; angles 90.00, 90.00, 144.51 degrees
Fractional coordinates of all 6 atoms:
Ta 0.000 0.000 0.000
Ti 0.171 0.829 0.500
Ti 0.500 0.500 0.500
Ti 0.829 0.171 0.500
Ga 0.343 0.657 0.000
Ga 0.657 0.343 0.000

---

(3)
DFT (PBE) results for a relaxed TaTi5Ga5 crystal.

Summary:
* DFT formation energy: -0.052 eV per atom
* final energy: -6.094 eV per atom
* density: 6.63 g/cm³
* symmetry: C2/m, No. 12

Cell lengths 7.617, 7.617, 5.447 Å; angles 97.34, 97.34, 37.96 degrees
Fractional coordinates of all 11 atoms:
Ta 0.000 0.000 0.000
Ti 0.000 0.000 0.500
Ti 0.331 0.331 0.070
Ti 0.348 0.348 0.580
Ti 0.652 0.652 0.420
Ti 0.669 0.669 0.930
Ga 0.169 0.169 0.735
Ga 0.172 0.172 0.246
Ga 0.500 0.500 0.000
Ga 0.828 0.828 0.754
Ga 0.831 0.831 0.265

---

(4)
DFT (PBE) results for a relaxed Ta3TiGa crystal.

Summary:
* DFT formation energy: 1.382 eV per atom
* final energy: -7.914 eV per atom
* density: 10.62 g/cm³
* symmetry: Pm-3m, No. 221
* energy above the lowest structure with this stoichiometry: 238 meV/atom

Cell lengths 4.692, 4.692, 4.692 Å; angles 90.00, 90.00, 90.00 degrees
Fractional coordinates of all 5 atoms:
Ta 0.000 0.000 0.500
Ta 0.000 0.500 0.000
Ta 0.500 0.000 0.000
Ti 0.000 0.000 0.000
Ga 0.500 0.500 0.500

---

(5)
DFT (PBE) results for a relaxed TaTi3Ga crystal.

Summary:
* DFT formation energy: 1.010 eV per atom
* final energy: -6.703 eV per atom
* density: 5.91 g/cm³
* symmetry: Pm-3m, No. 221
* energy above the lowest structure with this stoichiometry: 323 meV/atom

Cell lengths 4.802, 4.802, 4.802 Å; angles 90.00, 90.00, 90.00 degrees
Fractional coordinates of all 5 atoms:
Ta 0.000 0.000 0.000
Ti 0.000 0.000 0.500
Ti 0.000 0.500 0.000
Ti 0.500 0.000 0.000
Ga 0.500 0.500 0.500

---

(6)
DFT (PBE) results for a relaxed TaTiGa2 crystal.

Summary:
* DFT formation energy: -0.307 eV per atom
* final energy: -6.758 eV per atom
* density: 9.50 g/cm³
* symmetry: P4/mmm, No. 123
* energy above the lowest structure with this stoichiometry: 0 meV/atom

Cell lengths 3.988, 3.988, 4.050 Å; angles 90.00, 90.00, 90.00 degrees
Fractional coordinates of all 4 atoms:
Ta 0.000 0.000 0.000
Ti 0.500 0.500 0.000
Ga 0.000 0.500 0.500
Ga 0.500 0.000 0.500

---

(7)
DFT (PBE) results for a relaxed TaTi2Ga4 crystal.

Summary:
* DFT formation energy: -0.227 eV per atom
* final energy: -5.906 eV per atom
* density: 7.65 g/cm³
* symmetry: P1, No. 1

Cell lengths 5.463, 6.389, 7.426 Å; angles 90.00, 68.50, 89.98 degrees
Fractional coordinates of all 14 atoms:
Ta 0.000 0.000 0.000
Ta 0.498 0.003 0.998
Ti 0.206 0.502 0.072
Ti 0.257 0.502 0.487
Ti 0.521 0.001 0.458
Ti 0.756 0.501 0.485
Ga 0.091 0.190 0.320
Ga 0.092 0.813 0.320
Ga 0.374 0.269 0.752
Ga 0.374 0.735 0.752
Ga 0.652 0.696 0.187
Ga 0.655 0.307 0.187
Ga 0.884 0.760 0.729
Ga 0.885 0.244 0.730

---

(8)
DFT (PBE) results for a relaxed TaTiGa2 crystal.

Summary:
* DFT formation energy: -0.296 eV per atom
* final energy: -6.747 eV per atom
* density: 9.43 g/cm³
* symmetry: P4/mmm, No. 123
* energy above the lowest structure with this stoichiometry: 11 meV/atom

Cell lengths 2.847, 2.847, 7.998 Å; angles 90.00, 90.00, 90.00 degrees
Fractional coordinates of all 4 atoms:
Ta 0.000 0.000 0.000
Ti 0.000 0.000 0.500
Ga 0.500 0.500 0.255
Ga 0.500 0.500 0.745

---

Q: Look up the final energy of the first one.
A: -6.880 eV per atom

---

Q: What is the density in the first record?
A: 6.52 g/cm³